Record 1
Compound: LiNd2Ti
Source: Alexandria
Functional: PBE
Structure: optimized geometry

Geometry as POSCAR:
```
LiNd2Ti
1.0
3.2712 0.0000 0.0000
1.6356 2.8330 0.0000
1.6356 0.9443 11.8026
Nd Ti Li
2 1 1
Cartesian
4.9068 2.8330 2.9306
1.6356 0.9443 8.8719
0.0000 0.0000 0.0000
3.2712 1.8886 5.9013
```

Calculated values
Crystal system   trigonal
Volume   109.38 Å³/cell
Raw total energy   -4.3625 eV/atom
Space group   R-3m, No. 166
E above lowest polymorph   1.13 eV per formula unit
ΔH_f (0 K)   474 meV per atom
Total magnetization   1.085 μB per cell



Record 2
Compound: Tb2PdAu6
Source: Alexandria
Functional: PBE
Structure: optimized geometry

Geometry as POSCAR:
```
Tb2PdAu6
1.0
3.8403 0.0000 -1.1484
-0.7600 6.6210 -2.5416
0.0225 -0.1495 7.0705
Au Tb Pd
6 2 1
Cartesian
2.8464 3.1987 2.5230
0.9252 1.0918 3.0939
0.9043 5.3578 3.0240
2.1776 5.3797 0.2866
0.2564 3.2729 0.8575
2.1985 1.1137 0.3565
-0.3822 5.4004 -1.2780
3.4849 1.0711 4.6584
1.5401 3.3105 -1.8450
```

Calculated values
Crystal system   monoclinic
Volume   178.36 Å³/cell
Raw total energy   -4.3913 eV/atom
Space group   C2/m, No. 12
ΔH_f (0 K)   -600 meV per atom
Total magnetization   0.000 μB per cell



Record 3
Compound: YFe2
Source: Alexandria
Functional: PBE
Structure: optimized geometry

Geometry as POSCAR:
```
YFe2
1.0
-2.4121 1.2574 2.6810
-10.3036 -9.4430 -4.8407
1.3009 -2.6606 2.4182
Y Fe
4 8
Cartesian
-10.5429 -7.1087 -1.3902
-3.6573 -0.7981 1.8445
-3.5335 -4.3470 0.8998
-6.9525 -7.4802 -0.7065
-6.4488 -5.2854 1.4373
-0.7425 0.1398 1.3067
-1.2982 -0.5617 3.8563
-9.3656 -9.6896 -1.8412
-8.1294 -4.8991 -0.2557
-1.1216 -2.1346 2.0322
-5.8933 -4.5837 -1.1121
-6.0691 -3.0106 0.7119
```

Calculated values
Crystal system   tetragonal
Volume   215.99 Å³/cell
Raw total energy   -7.7670 eV/atom
Space group   I4/mmm, No. 139
ΔH_f (0 K)   29 meV per atom
Total magnetization   16.762 μB per cell



Record 4
Compound: CrAuSN2
Source: Alexandria
Functional: PBE
Structure: optimized geometry

Geometry as POSCAR:
```
CrAuSN2
1.0
-0.0791 2.7169 -2.3945
-1.1136 -2.2972 -2.5698
-5.0498 0.9965 1.2975
S N Au Cr
1 2 1 1
Cartesian
-2.5249 0.4983 0.6488
-0.5568 -1.1486 -1.2849
-0.0396 1.3585 -1.1972
-3.1213 0.7081 -1.8334
0.0000 0.0000 0.0000
```

Calculated values
Crystal system   tetragonal
Volume   69.65 Å³/cell
Raw total energy   -6.1641 eV/atom
Space group   P4/mmm, No. 123
E above lowest polymorph   0.00 eV per formula unit
Total magnetization   0.171 μB per cell



Q: The highest total magnetization belongs to which entry?
A: YFe2



Q: raw total energy of number 1 (LiNd2Ti)?
A: -4.3625 eV/atom